# LiCI3, single point on PBEsol structure, DFT meta-GGA SCAN
# Energy relative to the elements, uncorrected   6.43 eV per formula unit
# Uncorrected energy   -23.2568 eV/atom
# Size of the total moment   0.3 μB/f.u.
# Density of states at the Fermi level   1.11 states/eV per atom
data_LiCI3
_space_group_name_H-M_alt 'P m -3 m'
_space_group_IT_number 221
_space_group_name_Hall '-P 4 2 3'
_cell_length_a 5.265
_cell_length_b 5.265
_cell_length_c 5.265
_cell_angle_alpha 90.00
_cell_angle_beta 90.00
_cell_angle_gamma 90.00
loop_
_atom_site_label
_atom_site_fract_x
_atom_site_fract_y
_atom_site_fract_z
Li1 0.000 0.000 0.000
C1 0.500 0.500 0.500
I1 0.000 0.000 0.500